1.
ReNiOs2 after structural relaxation. Source: the Alexandria database, functional GGA-PBE.

Summary:
Offset from the most stable computed form = 0.96 eV/f.u.
Symmetry = Fm-3m
VASP energy = -9.831 eV/atom

Cell: 4.2912 4.2912 4.2912 Å, 60.00 60.00 60.00°
Element x y z (fractional)
Os 0.7500 0.7500 0.7500
Os 0.2500 0.2500 0.2500
Ni 0.0000 0.0000 0.0000
Re 0.5000 0.5000 0.5000

2.
YNi2Au after structural relaxation. Source: the Alexandria database, functional GGA-PBE.

Summary:
Symmetry = I-42d
VASP energy = -5.413 eV/atom

Cell: 4.2197 4.2197 9.3705 Å, 76.99 76.99 90.00°
Element x y z (fractional)
Au 0.7500 0.2500 0.5000
Au 0.0000 0.0000 0.0000
Y 0.5000 0.5000 0.0000
Y 0.2500 0.7500 0.5000
Ni 0.8750 0.0163 0.7500
Ni 0.9837 0.6250 0.2500
Ni 0.3750 0.2337 0.7500
Ni 0.7663 0.1250 0.2500

Size of the total moment (μB per cell)
0.0, 0.0
Fermi-level density of states (states/eV/f.u.)
4.6, 2.8
Energy of formation from the pure elements (eV per atom)
0.34, -0.09